(1)
Computed, not measured: a relaxed structure of TlCr3 at the PBE-GGA level of DFT.

Results
Magnetization in μB/atom: 0.71
Raw total energy in eV/atom: -7.145
ΔE_f in eV/atom: 0.6641
Density of states at the Fermi level in states/eV per atom: 0.71
Mass density in g/cm³: 9.289

a = 2.9826 Å, b = 2.9826 Å, c = 8.3623 Å
α = 90.00°, β = 90.00°, γ = 120.00°
Fractional coordinates of all 4 atoms:
1 Tl 0.0000 0.0000 0.0000
2 Cr 0.0000 0.0000 0.5000
3 Cr 0.3333 0.6667 0.2929
4 Cr 0.3333 0.6667 0.7071

---

(2)
Computed, not measured: a relaxed structure of TlCr at the PBE-GGA level of DFT.

Results
Magnetization in μB/atom: 0.00
Raw total energy in eV/atom: -5.530
ΔE_f in eV/atom: 0.4645
Density of states at the Fermi level in states/eV per atom: 0.74
Mass density in g/cm³: 10.344

a = 10.3004 Å, b = 10.3004 Å, c = 3.1033 Å
α = 90.00°, β = 90.00°, γ = 90.00°
Site moments in Bohr magnetons follow the coordinates.
Fractional coordinates of all 16 atoms:
1 Tl 0.6401 0.3341 0.5000  -0.03
2 Tl 0.3599 0.6659 0.5000  -0.03
3 Tl 0.6659 0.6401 0.5000  -0.03
4 Tl 0.3341 0.3599 0.5000  -0.03
5 Tl 0.8340 0.8598 0.0000  0.03
6 Tl 0.1660 0.1402 0.0000  0.03
7 Tl 0.1402 0.8340 0.0000  0.03
8 Tl 0.8598 0.1660 0.0000  0.03
9 Cr 0.9811 0.6373 0.5000  -2.79
10 Cr 0.0189 0.3627 0.5000  -2.79
11 Cr 0.3627 0.9811 0.5000  -2.79
12 Cr 0.6373 0.0189 0.5000  -2.79
13 Cr 0.8628 0.4811 0.0000  2.79
14 Cr 0.1372 0.5189 0.0000  2.79
15 Cr 0.5189 0.8628 0.0000  2.79
16 Cr 0.4811 0.1372 0.0000  2.79

---

(3)
Computed, not measured: a relaxed structure of TlCr at the PBE-GGA level of DFT.

Results
Magnetization in μB/atom: 2.02
Raw total energy in eV/atom: -5.121
ΔE_f in eV/atom: 0.8739
Density of states at the Fermi level in states/eV per atom: 1.00
Mass density in g/cm³: 9.306

a = 3.2942 Å, b = 3.2942 Å, c = 9.7359 Å
α = 90.00°, β = 90.00°, γ = 120.00°
Fractional coordinates of all 4 atoms:
1 Tl 0.3333 0.6667 0.1469
2 Tl 0.6667 0.3333 0.8531
3 Cr 0.3333 0.6667 0.6159
4 Cr 0.6667 0.3333 0.3841